# SiTcIr2

A relaxed structure of SiTcIr2 (PBE, Alexandria via LeMat-Bulk).

It has space group R-3m (No. 166, hexagonal axes), with a = 2.7932 Å, b = 2.7932 Å, c = 24.9346 Å, α = 90.00°, β = 90.00° and γ = 120.00°. The inequivalent atoms are Si at (0.0000, 0.0000, 0.0000), Tc at (0.0000, 0.0000, 0.5000) and Ir at (0.0000, 0.0000, 0.2562).

For the formation energy without anion corrections, the calculation gives -237 meV/atom. The calculation puts the total magnetization at 0.00 μB per formula unit.